Material: Nd3Cu2Ag4
Method: DFT, GGA-PBE
State: relaxed

Its formation enthalpy at 0 K is -0.220 eV/atom. The calculated volume comes out at 22.7 Å³/atom.

Cell lengths 5.8995, 5.8995, 8.8035 Å; angles 111.53, 111.53, 46.76 degrees
Atoms (fractional coordinates):
Nd 0.0000 0.0000 0.0000
Nd 0.3282 0.3282 0.3431
Nd 0.6718 0.6718 0.6569
Cu 0.4000 0.4000 0.7263
Cu 0.6000 0.6000 0.2737
Ag 0.0475 0.0475 0.3752
Ag 0.2810 0.2810 0.9369
Ag 0.7190 0.7190 0.0631
Ag 0.9525 0.9525 0.6248